No. 1
CrSnPd3 (GGA-PBEsol, optimized geometry); magnetic moment = 4.64 μB/f.u.; space-group type = Pm-3m (221); DFT formation energy = 0.89 eV/atom
1.0
4.823 0.000 0.000
0.000 4.823 0.000
0.000 0.000 4.823
Cr Sn Pd
1 1 3
direct
0.000 0.000 0.000 Cr
0.500 0.500 0.500 Sn
0.000 0.500 0.500 Pd
0.500 0.000 0.500 Pd
0.500 0.500 0.000 Pd

---

No. 2
Cr2SnTePd (GGA-PBEsol, optimized geometry); magnetic moment = 8.27 μB/f.u.; space-group type = P4/mmm (123); uncorrected formation energy = 725.8 kJ/mol of formula units
1.0
4.961 0.000 0.000
0.000 4.961 0.000
0.000 0.000 5.597
Cr Sn Te Pd
2 1 1 1
direct
0.000 0.500 0.000 Cr
0.500 0.000 0.000 Cr
0.000 0.000 0.000 Sn
0.000 0.000 0.500 Te
0.500 0.500 0.500 Pd

---

No. 3
SrCrPd3 (GGA-PBEsol, optimized geometry); magnetic moment = 3.18 μB/f.u.; space-group type = Pm-3m (221); DFT formation energy = 0.25 eV/atom
1.0
4.698 0.000 0.000
0.000 4.698 0.000
0.000 0.000 4.698
Sr Cr Pd
1 1 3
direct
0.000 0.000 0.000 Sr
0.500 0.500 0.500 Cr
0.000 0.500 0.500 Pd
0.500 0.000 0.500 Pd
0.500 0.500 0.000 Pd

---

No. 4
Sr2Cr2Pd (GGA-PBEsol, optimized geometry); magnetic moment = 0.11 μB/f.u.; space-group type = I4/mmm (139); DFT formation energy = 0.81 eV/atom
1.0
-3.041 3.041 3.410
3.041 -3.041 3.410
3.041 3.041 -3.410
Sr Cr Pd
2 2 1
direct
0.250 0.750 0.500 Sr
0.750 0.250 0.500 Sr
0.128 0.128 0.000 Cr
0.872 0.872 0.000 Cr
0.500 0.500 0.000 Pd

---

No. 5
Ta3CrPd (GGA-PBEsol, optimized geometry); magnetic moment = 0.00 μB/f.u.; space-group type = Pm-3m (221); DFT formation energy = 0.99 eV/atom
1.0
4.508 0.000 0.000
0.000 4.508 0.000
0.000 0.000 4.508
Ta Cr Pd
3 1 1
direct
0.000 0.000 0.500 Ta
0.000 0.500 0.000 Ta
0.500 0.000 0.000 Ta
0.000 0.000 0.000 Cr
0.500 0.500 0.500 Pd

---

No. 6
Cr3TcPd (GGA-PBEsol, optimized geometry); magnetic moment = 8.20 μB/f.u.; space-group type = Pm-3m (221); DFT formation energy = 1.97 eV/atom
1.0
4.600 0.000 0.000
0.000 4.600 0.000
0.000 0.000 4.600
Cr Tc Pd
3 1 1
direct
0.000 0.000 0.500 Cr
0.000 0.500 0.000 Cr
0.500 0.000 0.000 Cr
0.500 0.500 0.500 Tc
0.000 0.000 0.000 Pd